*one*
This record from the Alexandria database describes Rb2LiOs2 after structural relaxation. The functional is PBE.

a = 6.6071 Å, b = 6.6071 Å, c = 5.8754 Å
α = 90.00°, β = 90.00°, γ = 90.00°
Space group P4/mbm (No. 127)
Inequivalent atoms, fractional coordinates:
Rb 0.1803 0.3197 0.0000 [4 per cell]
Li 0.0000 0.0000 0.5000 [2 per cell]
Os 0.1220 0.6220 0.5000 [4 per cell]

*two*
This record from the Alexandria database describes Rb2LiOs2 after structural relaxation. The functional is PBE.

a = 5.0304 Å, b = 5.0304 Å, c = 14.4757 Å
α = 90.00°, β = 90.00°, γ = 90.00°
Space group I4/mmm (No. 139)
Inequivalent atoms, fractional coordinates:
Rb 0.0000 0.5000 0.2500 [4 per cell]
Li 0.0000 0.0000 0.0000 [2 per cell]
Os 0.0000 0.0000 0.4222 [4 per cell]

*one* is the most stable structure; the next one sits 491 meV per atom above it.

*one*
This record from the Alexandria database describes Sc2ICl after structural relaxation. The functional is PBE.

a = 5.0958 Å, b = 5.0958 Å, c = 17.2053 Å
α = 90.00°, β = 90.00°, γ = 90.00°
Space group I-42d (No. 122)
Inequivalent atoms, fractional coordinates:
Sc 0.1950 0.2500 0.1250 [8 per cell]
I 0.0000 0.0000 0.5000 [4 per cell]
Cl 0.0000 0.0000 0.0000 [4 per cell]

*two*
This record from the Alexandria database describes Sc2ICl after structural relaxation. The functional is PBE.

a = 6.9653 Å, b = 6.9653 Å, c = 6.9653 Å
α = 90.00°, β = 90.00°, γ = 90.00°
Space group Fm-3m (No. 225)
Inequivalent atoms, fractional coordinates:
Sc 0.2500 0.2500 0.2500 [8 per cell]
I 0.0000 0.0000 0.0000 [4 per cell]
Cl 0.0000 0.0000 0.5000 [4 per cell]

*two* is the most stable structure; the next one sits 16 meV per atom above it.